(1)
# YTeOs2

A relaxed structure of YTeOs2 (PBE, Alexandria).

Lattice parameters (Å, degrees): 9.694 9.694 9.694 18.21 18.21 18.21
Fractional coordinates of all 4 atoms:
Y (0.000, 0.000, 0.000)
Te (0.764, 0.764, 0.764)
Os (0.245, 0.245, 0.245)
Os (0.509, 0.509, 0.509)

Calculated density = 12.8 Mg/m³
SG = R3m (160)
Energy relative to the elements, uncorrected = 0.629 eV per atom


(2)
# TbY3Sc2

A relaxed structure of TbY3Sc2 (PBE, Alexandria).

Lattice parameters (Å, degrees): 8.687 8.687 5.453 90.00 90.00 68.10
Fractional coordinates of all 12 atoms:
Tb (0.221, 0.779, 0.750)
Tb (0.779, 0.221, 0.250)
Y (0.126, 0.389, 0.250)
Y (0.389, 0.126, 0.750)
Y (0.404, 0.596, 0.250)
Y (0.596, 0.404, 0.750)
Y (0.611, 0.874, 0.250)
Y (0.874, 0.611, 0.750)
Sc (0.012, 0.199, 0.750)
Sc (0.199, 0.012, 0.250)
Sc (0.801, 0.988, 0.750)
Sc (0.988, 0.801, 0.250)

Polymorph energy (0 for the lowest one) = 0.85 eV per formula unit
Calculated density = 4.5 Mg/m³
SG = Cmcm (63)
DFT formation energy = 0.30 eV per atom


(3)
# LiTaRu2

A relaxed structure of LiTaRu2 (PBE, Alexandria).

Lattice parameters (Å, degrees): 5.126 5.126 4.277 114.62 114.62 35.33
Fractional coordinates of all 4 atoms:
Li (0.000, 0.000, 0.000)
Ta (0.769, 0.769, 0.270)
Ru (0.251, 0.251, 0.752)
Ru (0.506, 0.506, 0.507)

Polymorph energy (0 for the lowest one) = 0.74 eV per formula unit
Calculated density = 11.1 Mg/m³
SG = Cm (8)
DFT formation energy = -0.02 eV per atom


(4)
# Tc4NiW

A relaxed structure of Tc4NiW (PBE, Alexandria).

Lattice parameters (Å, degrees): 5.050 5.050 5.050 60.00 60.00 60.00
Fractional coordinates of all 6 atoms:
Tc (0.376, 0.376, 0.376)
Tc (0.376, 0.376, 0.871)
Tc (0.376, 0.871, 0.376)
Tc (0.871, 0.376, 0.376)
Ni (0.750, 0.750, 0.750)
W (0.000, 0.000, 0.000)

Calculated density = 11.6 Mg/m³
SG = F-43m (216)
DFT formation energy = 0.34 eV per atom